Compound: YSn3Rh
Source: Alexandria via LeMat-Bulk
Functional: GGA-PBEsol
Structure: relaxed

extended XYZ file:
```
5
Lattice="5.0686 0.0000 0.0000 0.0000 5.0686 0.0000 0.0000 0.0000 5.0686" Properties=species:S:1:pos:R:3 pbc="T T T"
Sn 2.5343 0.0000 0.0000
Sn 0.0000 2.5343 0.0000
Sn 0.0000 0.0000 2.5343
Rh 0.0000 0.0000 0.0000
Y 2.5343 2.5343 2.5343
```

Computed properties:
calculated volume	26.043	A^3/atom
total DFT energy (no corrections)	-5.641	eV/atom
symmetry	Pm-3m, No. 221
density of states at the Fermi level	3.6	states/eV/cell
energy relative to the elements	-0.093	eV/atom
crystal system	cubic

***

Compound: TlRuW
Source: Alexandria via LeMat-Bulk
Functional: GGA-PBEsol
Structure: relaxed

extended XYZ file:
```
3
Lattice="4.3220 0.0000 0.0000 2.1610 3.7430 0.0000 2.1610 1.2477 3.5289" Properties=species:S:1:pos:R:3 pbc="T T T"
Tl 0.0000 0.0000 0.0000
Ru 2.1610 1.2477 0.8822
W 4.3220 2.4953 1.7645
```

Computed properties:
calculated volume	19.029	A^3/atom
total DFT energy (no corrections)	-8.048	eV/atom
symmetry	F-43m, No. 216
density of states at the Fermi level	4.5	states/eV/cell
energy relative to the elements	0.822	eV/atom
crystal system	cubic

***

Compound: Ta2ICl
Source: Alexandria via LeMat-Bulk
Functional: GGA-PBEsol
Structure: relaxed

extended XYZ file:
```
8
Lattice="-0.6529 4.3502 -0.3551 -3.2010 -0.7213 -2.9512 -3.7946 -2.1596 7.9432" Properties=species:S:1:pos:R:3 pbc="T T T"
Ta -3.4718 -1.1986 5.4112
I -4.4612 -0.5333 1.6694
I 0.0000 0.0000 0.0000
Cl -1.9269 1.8144 -1.6532
Ta -2.6909 2.8001 0.5843
Cl -3.1872 2.0025 2.9674
Ta -5.1104 0.6808 4.0238
Ta -4.0237 0.6562 -0.7457
```

Computed properties:
calculated volume	20.718	A^3/atom
total DFT energy (no corrections)	-6.706	eV/atom
symmetry	I-42d, No. 122
E_form (uncorrected)	513	meV per atom
density of states at the Fermi level	4.6	states/eV/cell
crystal system	tetragonal

***

Compound: Rb2LiScF6
Source: Alexandria via LeMat-Bulk
Functional: GGA-PBEsol
Structure: relaxed

extended XYZ file:
```
10
Lattice="5.8560 0.0000 0.0000 2.9280 5.0714 0.0000 2.9280 1.6905 4.7814" Properties=species:S:1:pos:R:3 pbc="T T T"
F 7.3534 2.5165 3.6133
Rb 2.9280 1.6905 1.1954
F 4.3587 4.2455 1.1681
F 7.3534 4.2455 1.1681
Rb 8.7840 5.0714 3.5861
Li 5.8560 3.3810 2.3907
Sc 0.0000 0.0000 0.0000
F 4.3587 2.5165 3.6133
F 5.8560 5.1100 3.6133
F 5.8560 1.6520 1.1681
```

Computed properties:
calculated volume	14.200	A^3/atom
total DFT energy (no corrections)	-5.574	eV/atom
symmetry	Fm-3m, No. 225
E_form (uncorrected)	-3355	meV per atom
density of states at the Fermi level	0.0	states/eV/cell
crystal system	cubic

***

Compound: YAlCu2S
Source: Alexandria via LeMat-Bulk
Functional: GGA-PBEsol
Structure: relaxed

extended XYZ file:
```
5
Lattice="4.3316 0.0000 0.0000 0.0000 4.3316 0.0000 0.0000 0.0000 5.0779" Properties=species:S:1:pos:R:3 pbc="T T T"
Y 0.0000 0.0000 2.5390
Cu 2.1658 0.0000 0.0000
Al 2.1658 2.1658 2.5390
Cu 0.0000 2.1658 0.0000
S 0.0000 0.0000 0.0000
```

Computed properties:
calculated volume	19.055	A^3/atom
total DFT energy (no corrections)	-4.922	eV/atom
symmetry	P4/mmm, No. 123
E_form (uncorrected)	-129	meV per atom
density of states at the Fermi level	2.3	states/eV/cell
crystal system	tetragonal

***

Compound: Hf2In2Se
Source: Alexandria via LeMat-Bulk
Functional: GGA-PBEsol
Structure: relaxed

extended XYZ file:
```
5
Lattice="3.8655 0.0000 0.0000 0.0000 3.8655 0.0000 -1.9327 -1.9327 7.9674" Properties=species:S:1:pos:R:3 pbc="T T T"
Hf 1.9327 0.0000 3.9837
In 1.9327 1.9327 1.4818
Hf 0.0000 1.9327 3.9837
In 0.0000 0.0000 6.4857
Se 0.0000 0.0000 0.0000
```

Computed properties:
calculated volume	23.810	A^3/atom
total DFT energy (no corrections)	-5.775	eV/atom
symmetry	I4/mmm, No. 139
E_form (uncorrected)	389	meV per atom
density of states at the Fermi level	5.0	states/eV/cell
crystal system	tetragonal

***

Compound: Be2FeRu
Source: Alexandria via LeMat-Bulk
Functional: GGA-PBEsol
Structure: relaxed

extended XYZ file:
```
4
Lattice="-1.2372 2.8187 2.2864 -3.7387 0.8360 0.1616 -2.0166 -0.8344 3.1528" Properties=species:S:1:pos:R:3 pbc="T T T"
Fe -3.4963 1.4101 2.8004
Be -5.2444 2.1152 4.2006
Be 0.0000 0.0000 0.0000
Ru -1.7481 0.7051 1.4002
```

Computed properties:
calculated volume	9.966	A^3/atom
total DFT energy (no corrections)	-6.849	eV/atom
symmetry	F-43m, No. 216
density of states at the Fermi level	3.2	states/eV/cell
energy relative to the elements	-0.065	eV/atom
crystal system	cubic

***

Compound: LaF3
Source: Alexandria via LeMat-Bulk
Functional: GGA-PBEsol
Structure: relaxed

extended XYZ file:
```
8
Lattice="-3.7895 0.9890 -1.2823 2.5970 -1.9370 -2.5468 -2.4751 -6.4223 2.3608" Properties=species:S:1:pos:R:3 pbc="T T T"
F -1.8586 -0.5000 -1.5149
F -1.8089 -6.8703 0.0467
F -2.7002 -2.6838 -0.7122
F -0.6188 -1.6056 0.5902
La -3.5169 -4.8030 0.0668
La -0.1506 -2.5673 -1.5351
F -0.9673 -4.6865 -0.7560
F -1.8563 -4.8167 1.7706
```

Computed properties:
calculated volume	13.377	A^3/atom
total DFT energy (no corrections)	-6.966	eV/atom
symmetry	P6_3/mmc, No. 194
E_form (uncorrected)	-4184	meV per atom
density of states at the Fermi level	0.0	states/eV/cell
crystal system	hexagonal

***

Compound: SiPbI2O
Source: Alexandria via LeMat-Bulk
Functional: GGA-PBEsol
Structure: relaxed

extended XYZ file:
```
5
Lattice="5.3472 0.0000 0.0000 0.0000 5.3472 0.0000 0.0000 0.0000 5.5608" Properties=species:S:1:pos:R:3 pbc="T T T"
O 2.6736 2.6736 2.7804
I 0.0000 2.6736 0.0000
Si 0.0000 0.0000 0.0000
Pb 0.0000 0.0000 2.7804
I 2.6736 0.0000 0.0000
```

Computed properties:
calculated volume	31.800	A^3/atom
total DFT energy (no corrections)	-3.062	eV/atom
symmetry	P4/mmm, No. 123
E_form (uncorrected)	644	meV per atom
density of states at the Fermi level	3.0	states/eV/cell
crystal system	tetragonal

***

Compound: Sr2VMoO6
Source: Alexandria via LeMat-Bulk
Functional: GGA-PBEsol
Structure: relaxed

extended XYZ file:
```
20
Lattice="5.5021 0.0023 0.0000 -0.0023 5.5021 0.0000 0.0000 0.0000 7.7571" Properties=species:S:1:pos:R:3 pbc="T T T"
Sr 2.7499 2.7522 5.9342
O 4.1260 1.3772 3.8803
Sr 2.7499 2.7522 1.8229
O 1.3750 1.3761 3.8794
O 1.3750 1.3761 7.7564
V -0.0011 2.7511 0.0000
O 4.1260 1.3772 7.7556
Sr -0.0023 5.5021 5.9342
O 2.7517 0.0028 1.9024
Mo -0.0011 2.7511 3.8785
Mo 2.7511 0.0011 3.8785
V 2.7511 0.0011 0.0000
O 5.5004 2.7516 1.9024
O 1.3738 4.1272 3.8768
O 1.3738 4.1272 0.0015
O 2.7482 5.5015 5.8547
Sr 5.5021 0.0023 1.8229
O -0.0005 2.7528 5.8547
O 4.1249 4.1283 0.0007
O 4.1249 4.1283 3.8777
```

Computed properties:
calculated volume	11.742	A^3/atom
total DFT energy (no corrections)	-8.324	eV/atom
symmetry	P4/mmm, No. 123
E_form (uncorrected)	-2666	meV per atom
density of states at the Fermi level	6.3	states/eV/cell
crystal system	tetragonal

***

Compound: Re2Ir
Source: Alexandria via LeMat-Bulk
Functional: GGA-PBEsol
Structure: relaxed

extended XYZ file:
```
6
Lattice="-2.5992 -0.7866 -0.2896 1.8960 0.2462 -4.8090 1.6009 -5.9921 1.9082" Properties=species:S:1:pos:R:3 pbc="T T T"
Re 1.1920 -2.9555 -2.6711
Ir 1.3229 -4.8315 1.2506
Ir -0.4252 -1.7011 -4.4410
Re -0.2943 -3.5771 -0.5193
Re -0.8439 -1.2956 -1.7847
Re 1.7416 -5.2370 -1.4057
```

Computed properties:
calculated volume	14.331	A^3/atom
total DFT energy (no corrections)	-12.359	eV/atom
symmetry	C2/m, No. 12
density of states at the Fermi level	4.1	states/eV/cell
energy relative to the elements	-0.197	eV/atom
crystal system	monoclinic

***

Compound: CrRhN2
Source: Alexandria via LeMat-Bulk
Functional: GGA-PBEsol
Structure: relaxed

extended XYZ file:
```
4
Lattice="2.8482 0.0000 0.0000 1.4241 2.4666 0.0000 1.4241 0.8222 6.0845" Properties=species:S:1:pos:R:3 pbc="T T T"
N 1.4241 0.8222 4.2796
Cr 0.0000 0.0000 0.0000
Rh 2.8482 1.6444 3.0423
N 4.2723 2.4666 1.8050
```

Computed properties:
calculated volume	10.687	A^3/atom
total DFT energy (no corrections)	-8.329	eV/atom
symmetry	R-3m, No. 166
E_form (uncorrected)	529	meV per atom
density of states at the Fermi level	2.6	states/eV/cell
crystal system	trigonal

***

> What is the total DFT energy (no corrections) in the eleventh record?

-12.359 eV/atom

***

Please write out number 6 again, unchanged.
Compound: Hf2In2Se
Source: Alexandria via LeMat-Bulk
Functional: GGA-PBEsol
Structure: relaxed

extended XYZ file:
```
5
Lattice="3.8655 0.0000 0.0000 0.0000 3.8655 0.0000 -1.9327 -1.9327 7.9674" Properties=species:S:1:pos:R:3 pbc="T T T"
Hf 1.9327 0.0000 3.9837
In 1.9327 1.9327 1.4818
Hf 0.0000 1.9327 3.9837
In 0.0000 0.0000 6.4857
Se 0.0000 0.0000 0.0000
```

Computed properties:
calculated volume	23.810	A^3/atom
total DFT energy (no corrections)	-5.775	eV/atom
symmetry	I4/mmm, No. 139
E_form (uncorrected)	389	meV per atom
density of states at the Fermi level	5.0	states/eV/cell
crystal system	tetragonal

***

> Look up the calculated volume of the fourth one.

14.200 A^3/atom